[1]
CoIr2 | Alexandria via LeMat-Bulk | PBE | relaxed; total DFT energy (no corrections) = -49.53 eV per cell; E_form = 21.0 meV per atom; space group = No. 8
1.0
-4.946 0.641 -0.922
-4.619 -2.019 -0.561
7.041 1.856 7.291
Co Ir
2 4
direct
0.997 0.997 0.995
0.338 0.338 0.674
0.114 0.114 0.725
0.447 0.447 0.390
0.667 0.667 0.334
0.771 0.771 0.049


[2]
Co3Ir5 | Alexandria via LeMat-Bulk | PBE | relaxed; total DFT energy (no corrections) = -130.73 eV per cell; E_form = 32.5 meV per atom; space group = No. 15
1.0
6.869 0.031 -0.135
-5.257 4.758 0.031
-0.927 -2.533 6.550
Ir Co
10 6
direct
0.242 0.912 0.916
0.248 0.046 0.288
0.250 0.791 0.541
0.253 0.541 0.799
0.258 0.173 0.671
0.742 0.827 0.330
0.748 0.460 0.202
0.751 0.210 0.460
0.753 0.955 0.713
0.758 0.088 0.085
0.253 0.417 0.415
0.250 0.294 0.044
0.249 0.663 0.165
0.752 0.338 0.836
0.750 0.707 0.957
0.748 0.584 0.586